{
  "formula": "K2PrNb5O15",
  "functional": "meta-GGA SCAN",
  "state": "single point on PBEsol structure",
  "sg": "No. 127",
  "n_ef_per_ev_atom": 0.0000,
  "raw_formation_energy_ev_per_atom": -2.861,
  "rho_g_cm3": 4.854,
  "cell": [[3.935, 0.000, 0.000], [0.000, 12.673, 0.000], [0.000, 0.000, 12.673]],
  "species": ["K", "K", "K", "K", "Pr", "Pr", "Nb", "Nb", "Nb", "Nb", "Nb", "Nb", "Nb", "Nb", "Nb", "Nb", "O", "O", "O", "O", "O", "O", "O", "O", "O", "O", "O", "O", "O", "O", "O", "O", "O", "O", "O", "O", "O", "O", "O", "O", "O", "O", "O", "O", "O", "O"],
  "frac_coords": [[0.500, 0.670, 0.170], [0.500, 0.330, 0.830], [0.500, 0.170, 0.330], [0.500, 0.830, 0.670], [0.500, 0.000, 0.000], [0.500, 0.500, 0.500], [0.000, 0.500, 0.000], [0.000, 0.000, 0.500], [0.000, 0.213, 0.077], [0.000, 0.787, 0.923], [0.000, 0.077, 0.787], [0.000, 0.713, 0.423], [0.000, 0.923, 0.213], [0.000, 0.287, 0.577], [0.000, 0.577, 0.713], [0.000, 0.423, 0.287], [0.500, 0.189, 0.080], [0.500, 0.811, 0.920], [0.500, 0.080, 0.811], [0.500, 0.689, 0.420], [0.500, 0.920, 0.189], [0.500, 0.311, 0.580], [0.500, 0.580, 0.689], [0.500, 0.420, 0.311], [0.000, 0.217, 0.717], [0.000, 0.783, 0.283], [0.000, 0.717, 0.783], [0.000, 0.283, 0.217], [0.500, 0.500, 0.000], [0.500, 0.000, 0.500], [0.000, 0.059, 0.132], [0.000, 0.941, 0.868], [0.000, 0.132, 0.941], [0.000, 0.559, 0.368], [0.000, 0.868, 0.059], [0.000, 0.441, 0.632], [0.000, 0.632, 0.559], [0.000, 0.368, 0.441], [0.000, 0.342, 0.999], [0.000, 0.658, 0.001], [0.000, 0.999, 0.658], [0.000, 0.842, 0.501], [0.000, 0.001, 0.342], [0.000, 0.158, 0.499], [0.000, 0.499, 0.842], [0.000, 0.501, 0.158]]
}